(1)
# TbDy4Bi3

A relaxed structure of TbDy4Bi3 (PBE, Alexandria).

The energy comes out at -4.73 eV per atom. Its space group is Immm, No. 71. For the density of states at the Fermi level, the calculation gives 1.125 states/eV per atom. Its crystal system is orthorhombic. Its formation energy is -398 meV/atom.

Cell lengths 8.5821, 8.5821, 8.5821 Å; angles 152.79, 119.18, 67.86 degrees
Atoms (fractional coordinates):
Tb: 0.0000 0.0000 0.0000
Dy: 0.1636 0.8676 0.2960
Dy: 0.4284 0.1324 0.2960
Dy: 0.5716 0.8676 0.7040
Dy: 0.8364 0.1324 0.7040
Bi: 0.1795 0.6795 0.5000
Bi: 0.5000 0.5000 0.0000
Bi: 0.8205 0.3205 0.5000

(2)
# Tb2DyBi2

A relaxed structure of Tb2DyBi2 (PBE, Alexandria).

The energy comes out at -4.89 eV per atom. Its space group is Cmc2_1, No. 36. For the density of states at the Fermi level, the calculation gives 0.974 states/eV per atom. Its crystal system is orthorhombic. Its formation energy is -568 meV/atom.

Cell lengths 7.5073, 7.5073, 10.3702 Å; angles 90.00, 90.00, 146.01 degrees
Atoms (fractional coordinates):
Tb: 0.1072 0.8928 0.5000
Tb: 0.3483 0.6517 0.7028
Tb: 0.6517 0.3483 0.2028
Tb: 0.8928 0.1072 0.0000
Dy: 0.3457 0.6543 0.2945
Dy: 0.6543 0.3457 0.7945
Bi: 0.0014 0.9986 0.7512
Bi: 0.2383 0.7617 0.9988
Bi: 0.7617 0.2383 0.4988
Bi: 0.9986 0.0014 0.2512

(3)
# Tb2DyBi

A relaxed structure of Tb2DyBi (PBE, Alexandria).

The energy comes out at -4.85 eV per atom. Its space group is P2_1/m, No. 11. For the density of states at the Fermi level, the calculation gives 1.075 states/eV per atom. Its crystal system is monoclinic. The distance to the lowest polymorph of the same formula comes out at 0.00 eV per formula unit. Its formation energy is -412 meV/atom.

Cell lengths 4.6380, 4.6004, 11.6513 Å; angles 90.00, 101.50, 90.00 degrees
Atoms (fractional coordinates):
Tb: 0.0594 0.2500 0.1189
Tb: 0.4381 0.2500 0.8764
Tb: 0.5619 0.7500 0.1236
Tb: 0.9406 0.7500 0.8811
Dy: 0.3078 0.7500 0.6168
Dy: 0.6922 0.2500 0.3832
Bi: 0.1707 0.7500 0.3396
Bi: 0.8293 0.2500 0.6604

(4)
# TbDy4Bi5

A relaxed structure of TbDy4Bi5 (PBE, Alexandria).

The energy comes out at -5.11 eV per atom. Its space group is Immm, No. 71. For the density of states at the Fermi level, the calculation gives 0.197 states/eV per atom. Its crystal system is orthorhombic. Its formation energy is -864 meV/atom.

Cell lengths 11.8413, 11.8413, 11.8413 Å; angles 158.20, 149.01, 38.21 degrees
Atoms (fractional coordinates):
Tb: 0.0000 0.0000 0.0000
Dy: 0.2002 0.2002 0.0000
Dy: 0.4000 0.4000 0.0000
Dy: 0.6000 0.6000 0.0000
Dy: 0.7998 0.7998 0.0000
Bi: 0.1004 0.6004 0.5000
Bi: 0.3001 0.8001 0.5000
Bi: 0.5000 0.0000 0.5000
Bi: 0.6999 0.1999 0.5000
Bi: 0.8996 0.3996 0.5000

(5)
# Tb2DyBi

A relaxed structure of Tb2DyBi (PBE, Alexandria).

The energy comes out at -4.42 eV per atom. Its space group is R-3m, No. 166. For the density of states at the Fermi level, the calculation gives 1.103 states/eV per atom. Its crystal system is trigonal. The distance to the lowest polymorph of the same formula comes out at 1.72 eV per formula unit. Its formation energy is 17 meV/atom.

Cell lengths 12.2305, 12.2305, 12.2305 Å; angles 16.64, 16.64, 16.64 degrees
Atoms (fractional coordinates):
Tb: 0.0875 0.0875 0.0875
Tb: 0.9125 0.9125 0.9125
Dy: 0.5000 0.5000 0.5000
Bi: 0.0000 0.0000 0.0000

(6)
# TbDy5Bi5

A relaxed structure of TbDy5Bi5 (PBE, Alexandria).

The energy comes out at -4.94 eV per atom. Its space group is C2/m, No. 12. For the density of states at the Fermi level, the calculation gives 0.366 states/eV per atom. Its crystal system is monoclinic. Its formation energy is -667 meV/atom.

Cell lengths 7.6371, 7.6371, 8.8443 Å; angles 106.77, 106.77, 48.48 degrees
Atoms (fractional coordinates):
Tb: 0.0000 0.0000 0.0000
Dy: 0.0000 0.0000 0.5000
Dy: 0.3363 0.3363 0.1717
Dy: 0.3357 0.3357 0.6644
Dy: 0.6643 0.6643 0.3356
Dy: 0.6637 0.6637 0.8283
Bi: 0.1670 0.1670 0.3359
Bi: 0.1699 0.1699 0.8322
Bi: 0.5000 0.5000 0.0000
Bi: 0.8301 0.8301 0.1678
Bi: 0.8330 0.8330 0.6641

Values for density, g cm⁻³, ordered as above
9.5 9.1 9.4 9.7 8.7 9.1